1:
A plane-wave DFT calculation with PBE was carried out for a relaxed La2ScF crystal.

a = 7.620 Å, b = 7.620 Å, c = 7.620 Å
α = 90.00°, β = 90.00°, γ = 90.00°
Fractional positions:
La (0.250, 0.250, 0.250)
La (0.250, 0.250, 0.750)
La (0.250, 0.750, 0.250)
La (0.250, 0.750, 0.750)
La (0.750, 0.250, 0.250)
La (0.750, 0.250, 0.750)
La (0.750, 0.750, 0.250)
La (0.750, 0.750, 0.750)
Sc (0.000, 0.000, 0.000)
Sc (0.000, 0.500, 0.500)
Sc (0.500, 0.000, 0.500)
Sc (0.500, 0.500, 0.000)
F (0.000, 0.000, 0.500)
F (0.000, 0.500, 0.000)
F (0.500, 0.000, 0.000)
F (0.500, 0.500, 0.500)

Results
The calculation puts the total magnetic moment at 0.0 μB per formula unit.

---

2:
A plane-wave DFT calculation with PBE was carried out for a relaxed La2ScF crystal.

a = 7.748 Å, b = 7.748 Å, c = 7.878 Å
α = 90.00°, β = 90.00°, γ = 90.00°
Fractional positions:
La (0.144, 0.250, 0.125)
La (0.250, 0.644, 0.375)
La (0.250, 0.856, 0.875)
La (0.356, 0.250, 0.625)
La (0.644, 0.750, 0.625)
La (0.750, 0.144, 0.875)
La (0.750, 0.356, 0.375)
La (0.856, 0.750, 0.125)
Sc (0.000, 0.000, 0.500)
Sc (0.000, 0.500, 0.750)
Sc (0.500, 0.000, 0.250)
Sc (0.500, 0.500, 0.000)
F (0.000, 0.000, 0.000)
F (0.000, 0.500, 0.250)
F (0.500, 0.000, 0.750)
F (0.500, 0.500, 0.500)

Results
The calculation puts the total magnetic moment at 0.0 μB per formula unit.

---

Unit: meV/atom. Relative energies: 1 726; 2 0.

---

1:
A plane-wave DFT calculation with PBE was carried out for a relaxed La2YScF crystal.

a = 5.284 Å, b = 5.284 Å, c = 4.814 Å
α = 90.00°, β = 90.00°, γ = 90.00°
Fractional positions:
La (0.000, 0.500, 0.000)
La (0.500, 0.000, 0.000)
Y (0.000, 0.000, 0.500)
Sc (0.500, 0.500, 0.500)
F (0.000, 0.000, 0.000)

Results
The calculation puts the total magnetic moment at 0.0 μB per formula unit.

---

2:
A plane-wave DFT calculation with PBE was carried out for a relaxed La2YScF crystal.

a = 5.436 Å, b = 5.436 Å, c = 4.487 Å
α = 90.00°, β = 90.00°, γ = 90.00°
Fractional positions:
La (0.000, 0.500, 0.000)
La (0.500, 0.000, 0.000)
Y (0.000, 0.000, 0.500)
Sc (0.500, 0.500, 0.500)
F (0.500, 0.500, 0.000)

Results
The calculation puts the total magnetic moment at 0.0 μB per formula unit.

---

Unit: meV/atom. Relative energies: 1 17; 2 0.

---

1:
A plane-wave DFT calculation with PBE was carried out for a relaxed LaSeF2 crystal.

a = 4.084 Å, b = 4.084 Å, c = 16.918 Å
α = 90.00°, β = 90.00°, γ = 120.00°
Fractional positions:
La (0.000, 0.000, 0.000)
La (0.333, 0.667, 0.667)
La (0.667, 0.333, 0.333)
Se (0.000, 0.000, 0.500)
Se (0.333, 0.667, 0.167)
Se (0.667, 0.333, 0.833)
F (0.000, 0.000, 0.301)
F (0.000, 0.000, 0.699)
F (0.333, 0.667, 0.366)
F (0.333, 0.667, 0.967)
F (0.667, 0.333, 0.033)
F (0.667, 0.333, 0.634)

Results
The calculation puts the total magnetic moment at 1.0 μB per formula unit.

---

2:
A plane-wave DFT calculation with PBE was carried out for a relaxed LaSeF2 crystal.

a = 4.772 Å, b = 4.772 Å, c = 15.709 Å
α = 90.00°, β = 90.00°, γ = 90.00°
Fractional positions:
La (0.000, 0.000, 0.000)
La (0.000, 0.500, 0.250)
La (0.500, 0.000, 0.750)
La (0.500, 0.500, 0.500)
Se (0.000, 0.000, 0.500)
Se (0.000, 0.500, 0.750)
Se (0.500, 0.000, 0.250)
Se (0.500, 0.500, 0.000)
F (0.093, 0.250, 0.125)
F (0.250, 0.593, 0.375)
F (0.250, 0.907, 0.875)
F (0.407, 0.250, 0.625)
F (0.593, 0.750, 0.625)
F (0.750, 0.093, 0.875)
F (0.750, 0.407, 0.375)
F (0.907, 0.750, 0.125)

Results
The calculation puts the total magnetic moment at 1.0 μB per formula unit.

---

Unit: meV/atom. Relative energies: 1 0; 2 123.

---

1:
A plane-wave DFT calculation with PBE was carried out for a relaxed LaSiF2 crystal.

a = 3.281 Å, b = 3.281 Å, c = 23.507 Å
α = 90.00°, β = 90.00°, γ = 120.00°
Fractional positions:
La (0.000, 0.000, 0.000)
La (0.333, 0.667, 0.667)
La (0.667, 0.333, 0.333)
Si (0.000, 0.000, 0.500)
Si (0.333, 0.667, 0.167)
Si (0.667, 0.333, 0.833)
F (0.000, 0.000, 0.408)
F (0.000, 0.000, 0.592)
F (0.333, 0.667, 0.074)
F (0.333, 0.667, 0.259)
F (0.667, 0.333, 0.741)
F (0.667, 0.333, 0.926)

Results
The calculation puts the total magnetic moment at 0.0 μB per formula unit.

---

2:
A plane-wave DFT calculation with PBE was carried out for a relaxed LaSiF2 crystal.

a = 4.483 Å, b = 4.483 Å, c = 16.099 Å
α = 90.00°, β = 90.00°, γ = 90.00°
Fractional positions:
La (0.000, 0.000, 0.000)
La (0.000, 0.500, 0.250)
La (0.500, 0.000, 0.750)
La (0.500, 0.500, 0.500)
Si (0.000, 0.000, 0.500)
Si (0.000, 0.500, 0.750)
Si (0.500, 0.000, 0.250)
Si (0.500, 0.500, 0.000)
F (0.190, 0.250, 0.125)
F (0.250, 0.690, 0.375)
F (0.250, 0.810, 0.875)
F (0.310, 0.250, 0.625)
F (0.690, 0.750, 0.625)
F (0.750, 0.190, 0.875)
F (0.750, 0.310, 0.375)
F (0.810, 0.750, 0.125)

Results
The calculation puts the total magnetic moment at 0.8 μB per formula unit.

---

Unit: meV/atom. Relative energies: 1 138; 2 0.

---

1:
A plane-wave DFT calculation with PBE was carried out for a relaxed LaSiF2 crystal.

a = 6.517 Å, b = 6.517 Å, c = 6.517 Å
α = 90.00°, β = 90.00°, γ = 90.00°
Fractional positions:
La (0.000, 0.000, 0.000)
La (0.000, 0.500, 0.500)
La (0.500, 0.000, 0.500)
La (0.500, 0.500, 0.000)
Si (0.000, 0.000, 0.500)
Si (0.000, 0.500, 0.000)
Si (0.500, 0.000, 0.000)
Si (0.500, 0.500, 0.500)
F (0.250, 0.250, 0.250)
F (0.250, 0.250, 0.750)
F (0.250, 0.750, 0.250)
F (0.250, 0.750, 0.750)
F (0.750, 0.250, 0.250)
F (0.750, 0.250, 0.750)
F (0.750, 0.750, 0.250)
F (0.750, 0.750, 0.750)

Results
The calculation puts the total magnetic moment at 2.8 μB per formula unit.

---

2:
A plane-wave DFT calculation with PBE was carried out for a relaxed LaSiF2 crystal.

a = 4.049 Å, b = 4.049 Å, c = 18.031 Å
α = 90.00°, β = 90.00°, γ = 120.00°
Fractional positions:
La (0.000, 0.000, 0.000)
La (0.333, 0.667, 0.667)
La (0.667, 0.333, 0.333)
Si (0.000, 0.000, 0.500)
Si (0.333, 0.667, 0.167)
Si (0.667, 0.333, 0.833)
F (0.000, 0.000, 0.301)
F (0.000, 0.000, 0.699)
F (0.333, 0.667, 0.365)
F (0.333, 0.667, 0.968)
F (0.667, 0.333, 0.032)
F (0.667, 0.333, 0.635)

Results
The calculation puts the total magnetic moment at 0.8 μB per formula unit.

---

Unit: meV/atom. Relative energies: 1 442; 2 0.

---

1:
A plane-wave DFT calculation with PBE was carried out for a relaxed La2SiF crystal.

a = 4.239 Å, b = 4.239 Å, c = 18.698 Å
α = 90.00°, β = 90.00°, γ = 120.00°
Fractional positions:
La (0.000, 0.000, 0.244)
La (0.000, 0.000, 0.756)
La (0.333, 0.667, 0.422)
La (0.333, 0.667, 0.911)
La (0.667, 0.333, 0.089)
La (0.667, 0.333, 0.578)
Si (0.000, 0.000, 0.000)
Si (0.333, 0.667, 0.667)
Si (0.667, 0.333, 0.333)
F (0.000, 0.000, 0.500)
F (0.333, 0.667, 0.167)
F (0.667, 0.333, 0.833)

Results
The calculation puts the total magnetic moment at 0.0 μB per formula unit.

---

2:
A plane-wave DFT calculation with PBE was carried out for a relaxed La2SiF crystal.

a = 7.165 Å, b = 7.165 Å, c = 7.165 Å
α = 90.00°, β = 90.00°, γ = 90.00°
Fractional positions:
La (0.250, 0.250, 0.250)
La (0.250, 0.250, 0.750)
La (0.250, 0.750, 0.250)
La (0.250, 0.750, 0.750)
La (0.750, 0.250, 0.250)
La (0.750, 0.250, 0.750)
La (0.750, 0.750, 0.250)
La (0.750, 0.750, 0.750)
Si (0.000, 0.000, 0.000)
Si (0.000, 0.500, 0.500)
Si (0.500, 0.000, 0.500)
Si (0.500, 0.500, 0.000)
F (0.000, 0.000, 0.500)
F (0.000, 0.500, 0.000)
F (0.500, 0.000, 0.000)
F (0.500, 0.500, 0.500)

Results
The calculation puts the total magnetic moment at 0.0 μB per formula unit.

---

3:
A plane-wave DFT calculation with PBE was carried out for a relaxed La2SiF crystal.

a = 5.862 Å, b = 5.862 Å, c = 13.828 Å
α = 90.00°, β = 90.00°, γ = 90.00°
Fractional positions:
La (0.206, 0.250, 0.125)
La (0.250, 0.706, 0.375)
La (0.250, 0.794, 0.875)
La (0.294, 0.250, 0.625)
La (0.706, 0.750, 0.625)
La (0.750, 0.206, 0.875)
La (0.750, 0.294, 0.375)
La (0.794, 0.750, 0.125)
Si (0.000, 0.000, 0.500)
Si (0.000, 0.500, 0.750)
Si (0.500, 0.000, 0.250)
Si (0.500, 0.500, 0.000)
F (0.000, 0.000, 0.000)
F (0.000, 0.500, 0.250)
F (0.500, 0.000, 0.750)
F (0.500, 0.500, 0.500)

Results
The calculation puts the total magnetic moment at 0.6 μB per formula unit.

---

Unit: meV/atom. Relative energies: 1 0; 2 196; 3 312.